Entry from Alexandria via LeMat-Bulk: crystalline Rb2Mg5Cd12 at its relaxed geometry (PBE).

a b c (Å): 7.929 7.929 7.929
angles (deg): 82.64 82.64 82.64
Fractional positions:
Rb  0.151  0.151  0.151
Rb  0.849  0.849  0.849
Mg  0.000  0.500  0.500
Mg  0.400  0.400  0.400
Mg  0.500  0.000  0.500
Mg  0.500  0.500  0.000
Mg  0.600  0.600  0.600
Cd  0.152  0.152  0.638
Cd  0.152  0.638  0.152
Cd  0.211  0.500  0.789
Cd  0.211  0.789  0.500
Cd  0.362  0.848  0.848
Cd  0.500  0.211  0.789
Cd  0.500  0.789  0.211
Cd  0.638  0.152  0.152
Cd  0.789  0.211  0.500
Cd  0.789  0.500  0.211
Cd  0.848  0.362  0.848
Cd  0.848  0.848  0.362

Computed properties:
Magnetic moment: 0.00 Bohr magnetons per cell
Total DFT energy (no corrections): -1.17 eV/atom
Energy relative to the elements: -1.39 eV/f.u.
Fermi-level density of states: 7.0 states/eV per cell
V: 25.643 Å³/atom



Entry from Alexandria via LeMat-Bulk: crystalline LaCoMo2 at its relaxed geometry (PBE).

a b c (Å): 6.231 6.231 6.231
angles (deg): 154.27 135.95 51.72
Fractional positions:
La  0.000  0.000  0.000
Co  0.500  0.500  0.000
Mo  0.297  0.797  0.500
Mo  0.703  0.203  0.500

Computed properties:
Magnetic moment: 0.01 Bohr magnetons per cell
Total DFT energy (no corrections): -7.96 eV/atom
Energy relative to the elements: 1.87 eV/f.u.
Fermi-level density of states: 4.8 states/eV per cell
V: 18.178 Å³/atom



Entry from Alexandria via LeMat-Bulk: crystalline Pr6As4Pb at its relaxed geometry (PBE).

a b c (Å): 7.430 7.430 21.950
angles (deg): 90.00 90.00 146.23
Fractional positions:
Pr  0.000  0.000  0.000
Pr  0.000  0.000  0.500
Pr  0.167  0.833  0.750
Pr  0.273  0.727  0.082
Pr  0.273  0.727  0.418
Pr  0.458  0.542  0.660
Pr  0.458  0.542  0.840
Pr  0.542  0.458  0.160
Pr  0.542  0.458  0.340
Pr  0.727  0.273  0.582
Pr  0.727  0.273  0.918
Pr  0.833  0.167  0.250
As  0.091  0.909  0.625
As  0.091  0.909  0.875
As  0.362  0.638  0.541
As  0.362  0.638  0.959
As  0.638  0.362  0.041
As  0.638  0.362  0.459
As  0.909  0.091  0.125
As  0.909  0.091  0.375
Pb  0.163  0.837  0.250
Pb  0.837  0.163  0.750

Computed properties:
Magnetic moment: 1.70 Bohr magnetons per cell
Total DFT energy (no corrections): -5.86 eV/atom
Energy relative to the elements: -13.52 eV/f.u.
Fermi-level density of states: 8.1 states/eV per cell
V: 30.616 Å³/atom